Entry from Alexandria via LeMat-Bulk: Cd9Pb2Au4 after structural relaxation (PBE-GGA).

Lattice parameters (Å, degrees): 4.7648 4.7648 17.9074 90.00 90.00 120.00
Sites, in units of the cell vectors:
Cd (0.0000, 0.0000, 0.3289)
Cd (0.0000, 0.0000, 0.6711)
Cd (0.0000, 0.0000, 0.8538)
Cd (0.0000, 0.0000, 0.1462)
Cd (0.3333, 0.6667, 0.5704)
Cd (0.6667, 0.3333, 0.4296)
Cd (0.6667, 0.3333, 0.0509)
Cd (0.3333, 0.6667, 0.9491)
Cd (0.0000, 0.0000, 0.5000)
Pb (0.3333, 0.6667, 0.7625)
Pb (0.6667, 0.3333, 0.2375)
Au (0.3333, 0.6667, 0.3943)
Au (0.6667, 0.3333, 0.6057)
Au (0.6667, 0.3333, 0.8933)
Au (0.3333, 0.6667, 0.1067)

Computed properties:
Formation enthalpy at 0 K (eV per atom): -0.07
Spin magnetization (μB/f.u.): 0.00
N(E_F) (states/eV/f.u.): 4.9
Crystal system: trigonal